# 1
Li5Cr2Fe5O12: relaxed, PBEsol.

Properties
* spin magnetization: 23.27 μB/f.u.
* formation energy from raw total energies: -38.5 eV per formula unit
* mass density: 4973 kg/m3

Lattice parameters (Å, degrees): 5.0302 4.9878 9.5272 85.29 80.62 59.72
Closest atoms and distances in Å follow each position.
Fractional coordinates of all 24 atoms:
Cr 0.7525 0.4951 0.5000  6 O 1.97-1.99
Cr 0.2474 0.5051 0.0000  6 O 1.98-1.99
Fe 0.9232 0.1536 0.0000  6 O 2.01-2.12
Fe 0.4883 0.5061 0.2548  6 O 2.00-2.19
Fe 0.0056 0.5061 0.7452  6 O 2.00-2.19
Fe 0.5740 0.8520 0.0000  6 O 2.00-2.14
Fe 0.4201 0.1598 0.5000  6 O 1.93-1.97
O 0.7656 0.1803 0.3825  2 Fe 1.95-2.00, 1 Cr 1.97, 3 Li 2.04-2.11
O 0.0541 0.1803 0.6175  2 Fe 1.95-2.00, 1 Cr 1.97, 3 Li 2.04-2.11
O 0.6123 0.5087 0.8846  1 Cr 1.99, 3 Fe 2.02-2.19, 2 Li 2.09-2.15
O 0.8790 0.5087 0.1154  1 Cr 1.99, 3 Fe 2.02-2.19, 2 Li 2.09-2.15
O 0.4669 0.8277 0.3821  2 Fe 1.97-2.04, 1 Cr 1.97, 3 Li 2.01-2.06
O 0.7054 0.8277 0.6179  2 Fe 1.97-2.04, 1 Cr 1.97, 3 Li 2.01-2.06
O 0.2971 0.1805 0.8741  1 Cr 1.98, 3 Fe 2.00-2.12, 2 Li 2.07-2.14
O 0.5223 0.1805 0.1259  1 Cr 1.98, 3 Fe 2.00-2.12, 2 Li 2.07-2.14
O 0.1294 0.4764 0.3863  2 Fe 1.93-2.09, 1 Cr 1.99, 3 Li 2.00-2.11
O 0.3942 0.4764 0.6137  2 Fe 1.93-2.09, 1 Cr 1.99, 3 Li 2.00-2.11
O 0.9760 0.8265 0.8704  1 Cr 1.99, 3 Fe 2.00-2.14, 2 Li 2.04-2.07
O 0.1975 0.8265 0.1296  1 Cr 1.99, 3 Fe 2.00-2.14, 2 Li 2.04-2.07
Li 0.3374 0.8330 0.7414  6 O 2.01-2.14
Li 0.1624 0.1614 0.2578  6 O 2.00-2.15
Li 0.8296 0.8330 0.2586  6 O 2.01-2.14
Li 0.6762 0.1614 0.7422  6 O 2.00-2.15
Li 0.0833 0.8334 0.5000  6 O 2.05-2.07

=====

# 2
Li4Cr3Fe3Sb2O16: relaxed, PBEsol.

Properties
* spin magnetization: 9.76 μB/f.u.
* formation energy from raw total energies: -47.8 eV per formula unit
* mass density: 5199 kg/m3

Lattice parameters (Å, degrees): 5.7287 5.7287 9.5445 90.09 90.09 60.18
Closest atoms and distances in Å follow each position.
Fractional coordinates of all 28 atoms:
O 0.6781 0.1565 0.6086  1 Li 1.89, 1 Fe 2.00, 1 Sb 2.01, 1 Cr 2.01
O 0.4870 0.4870 0.3439  2 Fe 1.92, 1 Li 1.92, 1 Sb 2.10
O 0.3343 0.3343 0.1171  2 Fe 1.88, 1 Cr 1.93, 1 Li 1.97
O 0.9932 0.9932 0.3126  1 Li 1.78, 2 Fe 1.90, 1 Cr 1.94
O 0.9947 0.9947 0.8095  1 Li 1.80, 1 Fe 1.89, 2 Cr 1.92
O 0.1565 0.6781 0.6086  1 Li 1.89, 1 Fe 2.00, 1 Sb 2.01, 1 Cr 2.01
O 0.4868 0.0357 0.3434  1 Li 1.90, 1 Fe 1.92, 1 Cr 1.97, 1 Sb 2.09
O 0.0357 0.4868 0.3434  1 Li 1.90, 1 Fe 1.92, 1 Cr 1.97, 1 Sb 2.09
O 0.1614 0.1614 0.6035  1 Li 1.93, 2 Cr 1.99, 1 Sb 2.00
O 0.8414 0.8414 0.1094  1 Li 1.87, 2 Fe 2.00, 1 Sb 2.00
O 0.9702 0.5201 0.8486  1 Fe 1.92, 1 Li 1.92, 1 Cr 1.97, 1 Sb 2.09
O 0.5201 0.9702 0.8486  1 Fe 1.92, 1 Li 1.92, 1 Cr 1.97, 1 Sb 2.09
O 0.8366 0.3191 0.1040  1 Li 1.90, 1 Fe 1.98, 1 Sb 2.00, 1 Cr 2.00
O 0.6649 0.6649 0.6110  1 Fe 1.90, 2 Cr 1.92, 1 Li 1.97
O 0.5189 0.5189 0.8458  1 Li 1.90, 2 Cr 1.96, 1 Sb 2.09
O 0.3191 0.8366 0.1040  1 Li 1.90, 1 Fe 1.98, 1 Sb 2.00, 1 Cr 2.00
Cr 0.1680 0.1680 0.2223  6 O 1.93-2.00
Cr 0.8327 0.3430 0.7227  6 O 1.92-2.01
Cr 0.3430 0.8327 0.7227  6 O 1.92-2.01
Fe 0.6527 0.1785 0.2230  6 O 1.88-2.00
Fe 0.1785 0.6527 0.2230  6 O 1.88-2.00
Fe 0.8224 0.8224 0.7240  6 O 1.89-2.00
Sb 0.3353 0.3353 0.4974  6 O 2.00-2.10
Sb 0.6683 0.6683 0.0011  6 O 2.00-2.09
Li 0.3378 0.3378 0.9109  4 O 1.90-1.97
Li 0.9958 0.9958 0.9977  4 O 1.80-1.90
Li 0.9944 0.9944 0.4995  4 O 1.78-1.93
Li 0.6721 0.6721 0.4051  4 O 1.90-1.97

=====

# 3
Li4Ti3Cr2Fe3O16: relaxed, PBEsol.

Properties
* spin magnetization: 9.66 μB/f.u.
* formation energy from raw total energies: -59.9 eV per formula unit
* mass density: 4434 kg/m3

Lattice parameters (Å, degrees): 5.7121 5.6546 9.3886 89.93 90.00 120.34
Closest atoms and distances in Å follow each position.
Fractional coordinates of all 28 atoms:
Cr 0.3322 0.6644 0.5099  6 O 1.95-2.01
Cr 0.6644 0.3287 0.0165  6 O 1.96-1.99
Ti 0.6551 0.8179 0.7856  6 O 1.93-2.03
Ti 0.1627 0.8179 0.7856  6 O 1.93-2.03
Ti 0.8311 0.6622 0.2861  6 O 1.94-1.98
Fe 0.1775 0.3549 0.7884  6 O 1.91-1.94
Fe 0.8241 0.1724 0.2868  6 O 1.88-1.96
Fe 0.3483 0.1724 0.2868  6 O 1.88-1.96
O 0.6666 0.8352 0.3994  1 Cr 1.95, 1 Li 1.95, 1 Fe 1.96, 1 Ti 1.98
O 0.4764 0.9528 0.6583  1 Li 1.87, 2 Ti 1.96, 1 Cr 1.98
O 0.3406 0.6812 0.9069  1 Li 1.92, 2 Ti 1.93, 1 Fe 1.94
O 0.0052 0.0104 0.6922  1 Li 1.76, 1 Fe 1.91, 2 Ti 1.94
O 0.0094 0.0187 0.1935  1 Li 1.76, 2 Fe 1.89, 1 Ti 1.94
O 0.1686 0.8352 0.3994  1 Cr 1.95, 1 Li 1.95, 1 Fe 1.96, 1 Ti 1.98
O 0.4758 0.5088 0.6548  1 Li 1.90, 1 Fe 1.93, 1 Ti 1.95, 1 Cr 2.01
O 0.0330 0.5088 0.6548  1 Li 1.90, 1 Fe 1.93, 1 Ti 1.95, 1 Cr 2.01
O 0.8326 0.6651 0.9024  1 Cr 1.96, 2 Ti 1.96, 1 Li 2.01
O 0.1638 0.3276 0.3913  1 Li 1.86, 2 Fe 1.94, 1 Cr 1.99
O 0.9583 0.4766 0.1584  1 Li 1.88, 1 Fe 1.91, 1 Ti 1.96, 1 Cr 1.97
O 0.5182 0.4766 0.1584  1 Li 1.88, 1 Fe 1.91, 1 Ti 1.96, 1 Cr 1.97
O 0.6638 0.3276 0.3991  2 Fe 1.88, 1 Li 1.91, 1 Ti 1.95
O 0.8416 0.1756 0.8956  1 Li 1.89, 1 Fe 1.94, 1 Cr 1.99, 1 Ti 2.03
O 0.5170 0.0340 0.1634  1 Li 1.91, 2 Fe 1.91, 1 Cr 1.99
O 0.3340 0.1756 0.8956  1 Li 1.89, 1 Fe 1.94, 1 Cr 1.99, 1 Ti 2.03
Li 0.3282 0.6564 0.1105  4 O 1.88-1.92
Li 0.0131 0.0261 0.0057  3 O 1.76-1.89
Li 0.0073 0.0146 0.5044  4 O 1.76-1.95
Li 0.6604 0.3207 0.6027  4 O 1.87-1.91

=====

# 4
Li4V3Cr3Fe2O16: relaxed, PBEsol.

Properties
* spin magnetization: 11.91 μB/f.u.
* formation energy from raw total energies: -55.8 eV per formula unit
* mass density: 4479 kg/m3

Lattice parameters (Å, degrees): 5.6447 5.6448 9.4043 89.32 89.33 60.61
Closest atoms and distances in Å follow each position.
Fractional coordinates of all 28 atoms:
Li 0.6661 0.6660 0.8926  4 O 1.89-1.94
Li 0.0050 0.0053 0.9942  4 O 1.79-1.94
Li 0.9979 0.9979 0.4959  4 O 1.74-1.94
Li 0.3346 0.3346 0.3914  4 O 1.88-1.90
V 0.1729 0.6483 0.7104  6 O 1.88-1.98
V 0.8286 0.8288 0.2125  6 O 1.88-1.94
V 0.6483 0.1729 0.7105  6 O 1.88-1.98
Cr 0.3480 0.8331 0.2190  6 O 1.90-2.00
Cr 0.8330 0.3481 0.2190  6 O 1.90-2.00
Cr 0.1712 0.1710 0.7082  6 O 1.92-2.02
Fe 0.6669 0.6669 0.4858  6 O 1.93-1.95
Fe 0.3338 0.3340 0.9929  6 O 1.93-2.10
O 0.3382 0.8195 0.5990  1 Fe 1.93, 1 V 1.93, 1 Li 1.94, 1 Cr 2.02
O 0.5228 0.5228 0.3439  1 Li 1.88, 2 Cr 1.92, 1 Fe 1.95
O 0.6708 0.6709 0.0987  1 V 1.89, 1 Li 1.94, 2 Cr 1.94
O 0.0027 0.0028 0.3108  1 Li 1.74, 2 Cr 1.90, 1 V 1.94
O 0.9944 0.9943 0.8045  1 Li 1.79, 2 V 1.92, 1 Cr 1.94
O 0.8196 0.3381 0.5990  1 Fe 1.93, 1 V 1.93, 1 Li 1.94, 1 Cr 2.02
O 0.5304 0.9588 0.3474  1 Li 1.90, 1 Fe 1.93, 1 V 1.93, 1 Cr 1.95
O 0.9587 0.5305 0.3474  1 Li 1.90, 1 Fe 1.93, 1 V 1.93, 1 Cr 1.95
O 0.1660 0.1662 0.1042  1 Li 1.89, 1 Fe 1.93, 2 Cr 1.96
O 0.8282 0.8281 0.6031  1 Li 1.92, 1 Fe 1.93, 2 V 1.98
O 0.0347 0.4799 0.8343  1 V 1.88, 1 Li 1.89, 1 Cr 1.94, 1 Fe 2.10
O 0.4801 0.0345 0.8343  1 V 1.88, 1 Li 1.89, 1 Cr 1.94, 1 Fe 2.10
O 0.3342 0.3341 0.5914  1 Li 1.88, 2 V 1.91, 1 Cr 1.92
O 0.1580 0.6752 0.1091  1 V 1.88, 1 Li 1.94, 1 Cr 2.00, 1 Fe 2.01
O 0.4799 0.4797 0.8393  1 Li 1.89, 2 V 1.94, 1 Fe 2.01
O 0.6750 0.1582 0.1091  1 V 1.88, 1 Li 1.94, 1 Cr 2.00, 1 Fe 2.01

=====

# 5
MgCr2Fe: relaxed, PBEsol.

Properties
* spin magnetization: 3.53 μB/f.u.
* ΔH_f (0 K): 508 meV per atom
* mass density: 5858 kg/m3

Lattice parameters (Å, degrees): 2.8184 2.8184 6.5711 90.00 90.00 90.00
Closest atoms and distances in Å follow each position.
Fractional coordinates of all 4 atoms:
Cr 0.0000 0.0000 0.7984  4 Fe 2.39, 1 Cr 2.65
Cr 0.0000 0.0000 0.2016  4 Fe 2.39, 1 Cr 2.65
Fe 0.5000 0.5000 0.0000  8 Cr 2.39
Mg 0.5000 0.5000 0.5000  8 Cr 2.80, 4 Mg 2.82

=====

# 6
MgCr2Fe: relaxed, PBEsol.

Properties
* spin magnetization: 2.40 μB/f.u.
* ΔH_f (0 K): 634 meV per atom
* mass density: 5848 kg/m3

Lattice parameters (Å, degrees): 3.0149 4.1643 4.1643 90.00 90.00 90.00
Closest atoms and distances in Å follow each position.
Fractional coordinates of all 4 atoms:
Cr 0.0000 0.0000 0.5000  4 Fe 2.57, 4 Mg 2.57
Cr 0.0000 0.5000 0.0000  4 Fe 2.57, 4 Mg 2.57
Fe 0.5000 0.5000 0.5000  8 Cr 2.57
Mg 0.5000 0.0000 0.0000  8 Cr 2.57

=====

# 7
MgCr2Fe: relaxed, PBEsol.

Properties
* spin magnetization: 1.87 μB/f.u.
* ΔH_f (0 K): 408 meV per atom
* mass density: 6160 kg/m3

Lattice parameters (Å, degrees): 2.4943 3.9422 5.1286 90.00 100.16 90.00
Closest atoms and distances in Å follow each position.
Fractional coordinates of all 4 atoms:
Cr 0.9655 0.0000 0.0310  4 Cr 2.35-2.49, 1 Fe 2.47, 2 Mg 2.62
Cr 0.7687 0.5000 0.2434  4 Cr 2.35-2.49, 2 Fe 2.45
Fe 0.5239 0.0000 0.4804  4 Cr 2.45-2.72, 2 Fe 2.49, 2 Mg 2.56
Mg 0.2419 0.5000 0.7451  2 Mg 2.49, 2 Fe 2.56, 4 Cr 2.62-2.66

=====

# 8
MgCr2Fe: relaxed, PBEsol.

Properties
* spin magnetization: 1.70 μB/f.u.
* ΔH_f (0 K): 481 meV per atom
* mass density: 6284 kg/m3

Lattice parameters (Å, degrees): 2.4536 4.7908 4.8935 115.83 98.38 102.38
Closest atoms and distances in Å follow each position.
Fractional coordinates of all 4 atoms:
Cr 0.0000 0.0000 0.5000  4 Cr 2.45, 2 Fe 2.57, 2 Mg 2.57
Cr 0.5000 0.5000 0.5000  4 Cr 2.45, 2 Mg 2.57, 2 Fe 2.57
Fe 0.5000 0.0000 0.0000  2 Mg 2.45, 2 Fe 2.45, 4 Cr 2.57
Mg 0.0000 0.5000 0.0000  2 Fe 2.45, 2 Mg 2.45, 4 Cr 2.57